1.
# Sr2CdBiAs

A relaxed structure of Sr2CdBiAs (PBE-GGA, Alexandria).

Lattice parameters (Å, degrees): 8.189 4.646 9.519 90.00 105.32 90.00
Space group P2_1/m (No. 11)
Unique sites:
Sr: 0.173 0.250 0.392 [2 per cell]
Sr: 0.215 0.250 0.967 [2 per cell]
Cd: 0.490 0.750 0.274 [2 per cell]
Bi: 0.285 0.750 0.692 [2 per cell]
As: 0.164 0.750 0.174 [2 per cell]

Magnetization = 0.000 Bohr magnetons per cell
Energy relative to the elements = -76.4 kJ/mol of atoms
N(E_F) = 0.449 states/eV per cell
Energy relative to the lowest polymorph listed for this composition = 0.000 eV/atom

2.
# Ca2PmCd

A relaxed structure of Ca2PmCd (PBE-GGA, Alexandria).

Lattice parameters (Å, degrees): 3.7820 3.7820 33.1663 90.00 90.00 120.00
Space group R3m (No. 160, hexagonal axes)
Unique sites:
Ca: 0.0000 0.0000 0.0000 [3 per cell]
Ca: 0.0000 0.0000 0.1850 [3 per cell]
Pm: 0.0000 0.0000 0.7585 [3 per cell]
Cd: 0.0000 0.0000 0.5929 [3 per cell]

Magnetization = 0.003 Bohr magnetons per cell
Energy relative to the elements = -4.0 kJ/mol of atoms
N(E_F) = 13.239 states/eV per cell
Energy relative to the lowest polymorph listed for this composition = 0.029 eV/atom

3.
# ScOs

A relaxed structure of ScOs (PBE-GGA, Alexandria).

Lattice parameters (Å, degrees): 7.326 7.326 7.326 90.00 90.00 90.00
Space group Pm-3n (No. 223)
Unique sites:
Sc: 0.000 0.250 0.500 [6 per cell]
Os: 0.000 0.500 0.250 [6 per cell]

Magnetization = 4.712 Bohr magnetons per cell
Energy relative to the elements = 166.6 kJ/mol of atoms
N(E_F) = 22.632 states/eV per cell